# DyP2Rh4 PBE-GGA optimized geometry
data_DyP2Rh4
_symmetry_space_group_name_H-M 'P 42/m n m'
_symmetry_Int_Tables_number 136
_symmetry_space_group_name_Hall '-P 4n 2n'
_cell_length_a 7.626
_cell_length_b 7.626
_cell_length_c 3.684
_cell_angle_alpha 90.00
_cell_angle_beta 90.00
_cell_angle_gamma 90.00
loop_
_atom_site_label
_atom_site_fract_x
_atom_site_fract_y
_atom_site_fract_z
Dy1 0.000 0.000 0.000
P1 0.233 0.233 0.500
Rh1 0.070 0.679 0.500
# - Energy of formation: -0.901 eV/atom
# - DOS at the Fermi energy: 0.615 states/eV per atom
# - Spin magnetization: 0.00 μB per formula unit